DFT (PBE-GGA) results for RbCdPd after structural relaxation.

Cell: 5.429 5.429 5.429 Å, 60.00 60.00 60.00°
Positions (direct):
Rb 0.000 0.000 0.000
Cd 0.750 0.750 0.750
Pd 0.250 0.250 0.250

For the excess energy over the best structure of this formula in the dataset, the calculation gives 510 meV/atom. As for the space group: F-43m, No. 216.

***

DFT (PBE-GGA) results for CdRe2Pd after structural relaxation.

Cell: 4.487 4.487 4.487 Å, 60.00 60.00 60.00°
Positions (direct):
Cd 0.000 0.000 0.000
Re 0.250 0.250 0.250
Re 0.500 0.500 0.500
Pd 0.750 0.750 0.750

As for the formation energy: 12.181 kcal/mol of atoms. As for the space group: F-43m, No. 216.

***

DFT (PBE-GGA) results for CdRePd after structural relaxation.

Cell: 4.325 4.325 4.325 Å, 60.00 60.00 60.00°
Positions (direct):
Cd 0.000 0.000 0.000
Re 0.500 0.500 0.500
Pd 0.250 0.250 0.250

As for the formation energy: 20.911 kcal/mol of atoms. For the excess energy over the best structure of this formula in the dataset, the calculation gives 0 meV/atom. As for the space group: F-43m, No. 216.

***

DFT (PBE-GGA) results for CdPd3S6 after structural relaxation.

Cell: 7.439 7.439 3.675 Å, 90.00 90.00 108.12°
Positions (direct):
Cd 0.000 0.000 0.000
Pd 0.000 0.500 0.500
Pd 0.500 0.000 0.500
Pd 0.500 0.500 0.000
S 0.164 0.836 0.500
S 0.171 0.419 0.000
S 0.419 0.171 0.000
S 0.581 0.829 0.000
S 0.829 0.581 0.000
S 0.836 0.164 0.500

As for the total DFT energy (no corrections): -4.32 eV per atom. As for the space group: Cmmm, No. 65.

***

DFT (PBE-GGA) results for CdSb2Pd after structural relaxation.

Cell: 5.069 5.069 5.069 Å, 60.00 60.00 60.00°
Positions (direct):
Cd 0.000 0.000 0.000
Sb 0.250 0.250 0.250
Sb 0.500 0.500 0.500
Pd 0.750 0.750 0.750

As for the total DFT energy (no corrections): -3.48 eV per atom. As for the space group: F-43m, No. 216.

***

DFT (PBE-GGA) results for Cd2SbPd after structural relaxation.

Cell: 4.907 4.907 4.907 Å, 60.00 60.00 60.00°
Positions (direct):
Cd 0.000 0.000 0.000
Cd 0.250 0.250 0.250
Sb 0.500 0.500 0.500
Pd 0.750 0.750 0.750

As for the total DFT energy (no corrections): -2.79 eV per atom. As for the space group: F-43m, No. 216.

***

DFT (PBE-GGA) results for SrCdSb2Pd after structural relaxation.

Cell: 4.736 4.736 11.788 Å, 90.00 90.00 90.00°
Positions (direct):
Sr 0.250 0.250 0.226
Sr 0.750 0.750 0.774
Cd 0.250 0.750 0.500
Cd 0.750 0.250 0.500
Sb 0.250 0.250 0.654
Sb 0.250 0.750 0.000
Sb 0.750 0.250 0.000
Sb 0.750 0.750 0.346
Pd 0.250 0.250 0.880
Pd 0.750 0.750 0.120

As for the total DFT energy (no corrections): -3.83 eV per atom. As for the space group: P4/nmm, No. 129.

***

DFT (PBE-GGA) results for ScCdPd after structural relaxation.

Cell: 4.575 4.575 4.575 Å, 60.00 60.00 60.00°
Positions (direct):
Sc 0.000 0.000 0.000
Cd 0.750 0.750 0.750
Pd 0.250 0.250 0.250

As for the formation energy: -2.690 kcal/mol of atoms. As for the space group: F-43m, No. 216.

***

DFT (PBE-GGA) results for ScCd2Pd after structural relaxation.

Cell: 4.762 4.762 4.762 Å, 60.00 60.00 60.00°
Positions (direct):
Sc 0.000 0.000 0.000
Cd 0.500 0.500 0.500
Cd 0.750 0.750 0.750
Pd 0.250 0.250 0.250

As for the formation energy: -10.329 kcal/mol of atoms. As for the space group: F-43m, No. 216.

***

DFT (PBE-GGA) results for ScCdPd2 after structural relaxation.

Cell: 5.697 5.697 5.697 Å, 109.45 102.06 117.25°
Positions (direct):
Sc 0.250 0.000 0.250
Sc 0.750 0.000 0.750
Cd 0.250 0.500 0.750
Cd 0.750 0.500 0.250
Pd 0.250 0.000 0.750
Pd 0.250 0.500 0.250
Pd 0.750 0.000 0.250
Pd 0.750 0.500 0.750

As for the formation energy: -15.066 kcal/mol of atoms. As for the space group: Imma, No. 74.

***

DFT (PBE-GGA) results for ScCdPd after structural relaxation.

Cell: 5.241 5.241 5.241 Å, 140.97 140.97 56.38°
Positions (direct):
Sc 0.000 0.000 0.000
Cd 0.316 0.316 0.000
Pd 0.644 0.644 0.000

As for the formation energy: -15.000 kcal/mol of atoms. As for the space group: I4mm, No. 107.

***

DFT (PBE-GGA) results for ScCdPd2 after structural relaxation.

Cell: 3.372 3.372 6.240 Å, 90.00 90.00 90.00°
Positions (direct):
Sc 0.000 0.000 0.000
Cd 0.000 0.000 0.500
Pd 0.500 0.500 0.242
Pd 0.500 0.500 0.758

As for the formation energy: -16.766 kcal/mol of atoms. As for the space group: P4/mmm, No. 123.

***

DFT (PBE-GGA) results for ScCdPd2 after structural relaxation.

Cell: 4.650 4.650 4.650 Å, 60.00 60.00 60.00°
Positions (direct):
Sc 0.000 0.000 0.000
Cd 0.250 0.250 0.250
Pd 0.500 0.500 0.500
Pd 0.750 0.750 0.750

As for the formation energy: -12.157 kcal/mol of atoms. As for the space group: F-43m, No. 216.

***

DFT (PBE-GGA) results for ScCdPd2 after structural relaxation.

Cell: 4.649 4.649 4.649 Å, 60.00 60.00 60.00°
Positions (direct):
Sc 0.000 0.000 0.000
Cd 0.250 0.250 0.250
Pd 0.500 0.500 0.500
Pd 0.750 0.750 0.750

As for the formation energy: -12.156 kcal/mol of atoms. As for the space group: F-43m, No. 216.

***

DFT (PBE-GGA) results for Sc2CdPd3 after structural relaxation.

Cell: 5.683 5.683 4.333 Å, 90.00 90.00 120.00°
Positions (direct):
Sc 0.333 0.667 0.000
Sc 0.667 0.333 0.000
Cd 0.000 0.000 0.000
Pd 0.000 0.500 0.500
Pd 0.500 0.000 0.500
Pd 0.500 0.500 0.500

As for the formation energy: -9.899 kcal/mol of atoms. As for the space group: P6/mmm, No. 191.

***

DFT (PBE-GGA) results for ScCdPd2 after structural relaxation.

Cell: 4.537 4.537 3.429 Å, 90.00 90.00 90.00°
Positions (direct):
Sc 0.000 0.000 0.000
Cd 0.500 0.500 0.000
Pd 0.000 0.500 0.500
Pd 0.500 0.000 0.500

As for the formation energy: -15.481 kcal/mol of atoms. As for the space group: P4/mmm, No. 123.

***

DFT (PBE-GGA) results for ScCdPd after structural relaxation.

Cell: 4.540 4.540 4.540 Å, 60.00 60.00 60.00°
Positions (direct):
Sc 0.000 0.000 0.000
Cd 0.500 0.500 0.500
Pd 0.750 0.750 0.750

As for the formation energy: -10.868 kcal/mol of atoms. As for the space group: F-43m, No. 216.

***

DFT (PBE-GGA) results for CdPd3Se6 after structural relaxation.

Cell: 7.755 7.755 3.914 Å, 90.00 90.00 106.30°
Positions (direct):
Cd 0.000 0.000 0.000
Pd 0.000 0.500 0.500
Pd 0.500 0.000 0.500
Pd 0.500 0.500 0.000
Se 0.163 0.837 0.500
Se 0.171 0.416 0.000
Se 0.416 0.171 0.000
Se 0.584 0.829 0.000
Se 0.829 0.584 0.000
Se 0.837 0.163 0.500

As for the total DFT energy (no corrections): -3.99 eV per atom. As for the space group: Cmmm, No. 65.

***

DFT (PBE-GGA) results for CdSi2Pd after structural relaxation.

Cell: 4.573 4.573 4.573 Å, 60.00 60.00 60.00°
Positions (direct):
Cd 0.000 0.000 0.000
Si 0.250 0.250 0.250
Si 0.500 0.500 0.500
Pd 0.750 0.750 0.750

As for the total DFT energy (no corrections): -3.99 eV per atom. As for the space group: F-43m, No. 216.

***

DFT (PBE-GGA) results for Cd2SiPd after structural relaxation.

Cell: 4.677 4.677 4.677 Å, 60.00 60.00 60.00°
Positions (direct):
Cd 0.000 0.000 0.000
Cd 0.250 0.250 0.250
Si 0.500 0.500 0.500
Pd 0.750 0.750 0.750

As for the total DFT energy (no corrections): -3.01 eV per atom. As for the space group: F-43m, No. 216.